VASP calculation (PBE-GGA) on a relaxed structure of CaThZnPt.

Computed properties:
* DOS at the Fermi energy: 3.5 states/eV/f.u.
* energy of formation: -603 meV/atom

a = 5.094 Å, b = 5.094 Å, c = 5.094 Å
α = 60.00°, β = 60.00°, γ = 60.00°
Positions (direct):
Th: 0.500 0.500 0.500
Zn: 0.250 0.250 0.250
Pt: 0.750 0.750 0.750
Ca: 0.000 0.000 0.000